Record 1
Here is a relaxed HoEr5Al3 crystal from Alexandria. Energies are from PBE.

Cell and atoms, written as CIF:
```
data_HoEr5Al3
_chemical_formula_sum 'Ho2 Er10 Al6'
_cell_length_a 6.583
_cell_length_b 8.999
_cell_length_c 8.998
_cell_angle_alpha 120.00
_cell_angle_beta 90.00
_cell_angle_gamma 90.00
_symmetry_space_group_name_H-M 'P 1'
_symmetry_Int_Tables_number 1
_symmetry_space_group_name_Hall 'P 1'
loop_
_atom_site_label
_atom_site_type_symbol
_atom_site_fract_x
_atom_site_fract_y
_atom_site_fract_z
_atom_site_occupancy
Er1 Er 0.750 0.667 0.667 1
Er2 Er 0.250 0.666 0.000 1
Er3 Er 0.500 0.667 0.334 1
Er4 Er 0.000 0.667 0.334 1
Er5 Er 0.250 0.000 0.667 1
Er6 Er 0.750 0.334 0.000 1
Er7 Er 0.500 0.333 0.666 1
Er8 Er 0.000 0.333 0.666 1
Er9 Er 0.750 0.000 0.333 1
Er10 Er 0.250 0.333 0.333 1
Al1 Al 0.250 0.000 0.334 1
Al2 Al 0.750 0.334 0.334 1
Al3 Al 0.750 0.000 0.666 1
Al4 Al 0.250 0.334 0.000 1
Al5 Al 0.250 0.666 0.666 1
Al6 Al 0.750 0.666 0.000 1
Ho1 Ho 0.000 0.000 0.000 1
Ho2 Ho 0.500 0.000 0.000 1
```

ΔH_f (0 K) in eV/atom: -0.278

---

Record 2
Here is a relaxed Ca2ZnPbCl8 crystal from Alexandria. Energies are from PBE.

Cell and atoms, written as CIF:
```
data_Ca2ZnPbCl8
_chemical_formula_sum 'Ca2 Zn1 Pb1 Cl8'
_cell_length_a 6.484
_cell_length_b 6.270
_cell_length_c 8.289
_cell_angle_alpha 90.00
_cell_angle_beta 90.00
_cell_angle_gamma 89.23
_symmetry_space_group_name_H-M 'P 1'
_symmetry_Int_Tables_number 1
_symmetry_space_group_name_Hall 'P 1'
loop_
_atom_site_label
_atom_site_type_symbol
_atom_site_fract_x
_atom_site_fract_y
_atom_site_fract_z
_atom_site_occupancy
Ca1 Ca 0.500 0.500 0.236 1
Ca2 Ca 0.500 0.500 0.764 1
Zn1 Zn 0.000 0.000 0.000 1
Cl1 Cl 0.166 0.786 0.215 1
Cl2 Cl 0.686 0.734 0.000 1
Cl3 Cl 0.834 0.214 0.785 1
Cl4 Cl 0.343 0.287 0.500 1
Cl5 Cl 0.834 0.214 0.215 1
Cl6 Cl 0.314 0.266 0.000 1
Cl7 Cl 0.657 0.713 0.500 1
Cl8 Cl 0.166 0.786 0.785 1
Pb1 Pb 0.000 0.000 0.500 1
```

Formation energy (no corrections) in eV per formula unit: -20.65